Entry 1:
# Y2ZnFeC GGA-PBE relaxed
data_Y2ZnFeC
_symmetry_space_group_name_H-M 'P 4/m m m'
_symmetry_Int_Tables_number 123
_symmetry_space_group_name_Hall '-P 4 2'
_cell_length_a 4.965
_cell_length_b 4.965
_cell_length_c 3.666
_cell_angle_alpha 90.00
_cell_angle_beta 90.00
_cell_angle_gamma 90.00
loop_
_atom_site_label
_atom_site_type_symbol
_atom_site_fract_x
_atom_site_fract_y
_atom_site_fract_z
Y1 Y 0.000 0.500 0.000
Zn1 Zn 0.000 0.000 0.500
Fe1 Fe 0.500 0.500 0.500
C1 C 0.500 0.500 0.000
# Calculated density ... 5.7 Mg/m³
# Calculated total energy ... -33.4 eV for the cell shown

***

Entry 2:
# Y4Zr2Fe3C3 GGA-PBE relaxed
data_Y4Zr2Fe3C3
_symmetry_space_group_name_H-M 'C 1 2/c 1'
_symmetry_Int_Tables_number 15
_cell_length_a 10.458
_cell_length_b 6.022
_cell_length_c 14.670
_cell_angle_alpha 90.00
_cell_angle_beta 104.23
_cell_angle_gamma 90.00
loop_
_symmetry_equiv_pos_as_xyz
'x,y,z'
'-x,-y,-z'
'-x,y,-z+1/2'
'x,-y,z+1/2'
'x+1/2,y+1/2,z'
'-x+1/2,-y+1/2,-z'
'-x+1/2,y+1/2,-z+1/2'
'x+1/2,-y+1/2,z+1/2'
loop_
_atom_site_label
_atom_site_type_symbol
_atom_site_fract_x
_atom_site_fract_y
_atom_site_fract_z
Y1 Y 0.119 0.079 0.105
Y2 Y 0.212 0.086 0.395
Zr1 Zr 0.060 0.413 0.921
Fe1 Fe 0.000 0.363 0.250
Fe2 Fe 0.110 0.306 0.749
C1 C 0.080 0.260 0.500
C2 C 0.250 0.250 0.000
# Calculated density ... 5.5 Mg/m³
# Calculated total energy ... -388.6 eV for the cell shown

***

Entry 3:
# Zr4ZnFeC2 GGA-PBE relaxed
data_Zr4ZnFeC2
_symmetry_space_group_name_H-M 'P -6 m 2'
_symmetry_Int_Tables_number 187
_symmetry_space_group_name_Hall 'P -6 2'
_cell_length_a 3.3044
_cell_length_b 3.3044
_cell_length_c 13.9004
_cell_angle_alpha 90.00
_cell_angle_beta 90.00
_cell_angle_gamma 120.00
loop_
_atom_site_label
_atom_site_type_symbol
_atom_site_fract_x
_atom_site_fract_y
_atom_site_fract_z
Zr1 Zr 0.0000 0.0000 0.1427
Zr2 Zr 0.3333 0.6667 0.3312
Zn1 Zn 0.0000 0.0000 0.5000
Fe1 Fe 0.3333 0.6667 0.0000
C1 C 0.6667 0.3333 0.2418
# Calculated density ... 6.4 Mg/m³
# Calculated total energy ... -65.2 eV for the cell shown

***

Entry 4:
# Zr2Fe2C3 GGA-PBE relaxed
data_Zr2Fe2C3
_symmetry_space_group_name_H-M 'C 1 2/m 1'
_symmetry_Int_Tables_number 12
_cell_length_a 9.904
_cell_length_b 3.271
_cell_length_c 5.257
_cell_angle_alpha 90.00
_cell_angle_beta 107.30
_cell_angle_gamma 90.00
loop_
_symmetry_equiv_pos_as_xyz
'x,y,z'
'-x,-y,-z'
'-x,y,-z'
'x,-y,z'
'x+1/2,y+1/2,z'
'-x+1/2,-y+1/2,-z'
'-x+1/2,y+1/2,-z'
'x+1/2,-y+1/2,z'
loop_
_atom_site_label
_atom_site_type_symbol
_atom_site_fract_x
_atom_site_fract_y
_atom_site_fract_z
Zr1 Zr 0.111 0.000 0.310
Fe1 Fe 0.158 0.500 0.878
C1 C 0.000 0.500 0.000
C2 C 0.218 0.000 0.756
# Calculated density ... 6.7 Mg/m³
# Calculated total energy ... -127.5 eV for the cell shown

***

Entry 5:
# ZrFeC2 GGA-PBE relaxed
data_ZrFeC2
_symmetry_space_group_name_H-M 'P 63/m m c'
_symmetry_Int_Tables_number 194
_symmetry_space_group_name_Hall '-P 6c 2c'
_cell_length_a 3.2991
_cell_length_b 3.2991
_cell_length_c 8.9226
_cell_angle_alpha 90.00
_cell_angle_beta 90.00
_cell_angle_gamma 120.00
loop_
_atom_site_label
_atom_site_type_symbol
_atom_site_fract_x
_atom_site_fract_y
_atom_site_fract_z
Zr1 Zr 0.0000 0.0000 0.0000
Fe1 Fe 0.3333 0.6667 0.2500
C1 C 0.3333 0.6667 0.6666
# Calculated density ... 6.8 Mg/m³
# Calculated total energy ... -72.3 eV for the cell shown

***

Entry 6:
# ZrFeC2 GGA-PBE relaxed
data_ZrFeC2
_symmetry_space_group_name_H-M 'P 4/m m m'
_symmetry_Int_Tables_number 123
_symmetry_space_group_name_Hall '-P 4 2'
_cell_length_a 3.197
_cell_length_b 3.197
_cell_length_c 4.406
_cell_angle_alpha 90.00
_cell_angle_beta 90.00
_cell_angle_gamma 90.00
loop_
_atom_site_label
_atom_site_type_symbol
_atom_site_fract_x
_atom_site_fract_y
_atom_site_fract_z
Zr1 Zr 0.000 0.000 0.000
Fe1 Fe 0.500 0.500 0.500
C1 C 0.000 0.000 0.500
C2 C 0.500 0.500 0.000
# Calculated density ... 6.3 Mg/m³
# Calculated total energy ... -34.3 eV for the cell shown

***

Entry 7:
# Zr4FeC3 GGA-PBE relaxed
data_Zr4FeC3
_symmetry_space_group_name_H-M 'P 63/m m c'
_symmetry_Int_Tables_number 194
_symmetry_space_group_name_Hall '-P 6c 2c'
_cell_length_a 3.3280
_cell_length_b 3.3280
_cell_length_c 24.1083
_cell_angle_alpha 90.00
_cell_angle_beta 90.00
_cell_angle_gamma 120.00
loop_
_atom_site_label
_atom_site_type_symbol
_atom_site_fract_x
_atom_site_fract_y
_atom_site_fract_z
Zr1 Zr 0.0000 0.0000 0.1667
Zr2 Zr 0.3333 0.6667 0.0553
Fe1 Fe 0.3333 0.6667 0.2500
C1 C 0.0000 0.0000 0.0000
C2 C 0.3333 0.6667 0.6151
# Calculated density ... 6.6 Mg/m³
# Calculated total energy ... -149.0 eV for the cell shown

***

Entry 8:
# GaGeW4C2 GGA-PBE relaxed
data_GaGeW4C2
_symmetry_space_group_name_H-M 'P -6 m 2'
_symmetry_Int_Tables_number 187
_symmetry_space_group_name_Hall 'P -6 2'
_cell_length_a 3.1177
_cell_length_b 3.1177
_cell_length_c 12.8656
_cell_angle_alpha 90.00
_cell_angle_beta 90.00
_cell_angle_gamma 120.00
loop_
_atom_site_label
_atom_site_type_symbol
_atom_site_fract_x
_atom_site_fract_y
_atom_site_fract_z
Ga1 Ga 0.0000 0.0000 0.0000
Ge1 Ge 0.3333 0.6667 0.5000
W1 W 0.0000 0.0000 0.3435
W2 W 0.3333 0.6667 0.1642
C1 C 0.6667 0.3333 0.2529
# Calculated density ... 13.8 Mg/m³
# Calculated total energy ... -76.9 eV for the cell shown